1.
This record from OQMD describes crystalline TmCuBiSe3 at its relaxed geometry. The functional is GGA-PBE.

## Properties
Electronic total energy in eV per atom: -4.57

Cell: 4.022 13.574 10.390 Å, 90.00 90.00 90.00°
Space group Cmcm (No. 63)
Inequivalent atoms, fractional coordinates:
Tm1 0.000 0.000 0.000
Cu1 0.000 0.470 0.250
Bi1 0.000 0.204 0.750
Se1 0.000 0.083 0.250
Se2 0.000 0.356 0.051

=====

2.
This record from OQMD describes crystalline Cu2SiBi at its relaxed geometry. The functional is GGA-PBE.

## Properties
Electronic total energy in eV per atom: -3.93

Cell: 6.548 6.548 6.548 Å, 90.00 90.00 90.00°
Space group Pm-3m (No. 221)
Inequivalent atoms, fractional coordinates:
Cu1 0.209 0.209 0.209
Si1 0.000 0.000 0.000
Si2 0.000 0.000 0.500
Bi1 0.000 0.500 0.500
Bi2 0.500 0.500 0.500

=====

3.
This record from OQMD describes crystalline CuSi2Bi at its relaxed geometry. The functional is GGA-PBE.

## Properties
Electronic total energy in eV per atom: -4.03

Cell: 6.689 6.689 6.689 Å, 90.00 90.00 90.00°
Space group F-43m (No. 216)
Inequivalent atoms, fractional coordinates:
Cu1 0.000 0.000 0.000
Si1 0.000 0.000 0.500
Si2 0.250 0.250 0.250
Bi1 0.250 0.250 0.750

=====

4.
This record from OQMD describes crystalline Cu2SiBi at its relaxed geometry. The functional is GGA-PBE.

## Properties
Electronic total energy in eV per atom: -3.93

Cell: 6.548 6.548 6.548 Å, 90.00 90.00 90.00°
Space group Pm-3m (No. 221)
Inequivalent atoms, fractional coordinates:
Cu1 0.209 0.209 0.209
Si1 0.000 0.000 0.000
Si2 0.000 0.000 0.500
Bi1 0.000 0.500 0.500
Bi2 0.500 0.500 0.500

=====

5.
This record from OQMD describes crystalline CuSnBi2 at its relaxed geometry. The functional is GGA-PBE.

## Properties
Electronic total energy in eV per atom: -3.62

Cell: 7.516 7.516 7.516 Å, 90.00 90.00 90.00°
Space group F-43m (No. 216)
Inequivalent atoms, fractional coordinates:
Cu1 0.000 0.000 0.000
Sn1 0.250 0.250 0.250
Bi1 0.000 0.000 0.500
Bi2 0.250 0.250 0.750

=====

6.
This record from OQMD describes crystalline SrCu2Bi4 at its relaxed geometry. The functional is GGA-PBE.

## Properties
Electronic total energy in eV per atom: -3.57

Cell: 7.092 9.225 25.340 Å, 90.00 90.00 90.00°
Space group Fddd (No. 70, origin choice 2)
Inequivalent atoms, fractional coordinates:
Sr1 0.125 0.125 0.125
Cu1 0.125 0.125 0.257
Bi1 0.072 0.294 0.687